{
  "formula": "Ac3Pd2Pt4",
  "functional": "GGA-PBE",
  "state": "relaxed",
  "formation_energy_kj_per_mol_atoms": -90.4,
  "m_tot_mub_per_fu": 0.00,
  "crystal_system": "hexagonal",
  "lattice": [[4.558, 0.000, 0.000], [-2.279, 3.947, 0.000], [0.000, 0.000, 24.785]],
  "species": ["Ac", "Ac", "Ac", "Ac", "Ac", "Ac", "Pd", "Pd", "Pd", "Pd", "Pt", "Pt", "Pt", "Pt", "Pt", "Pt", "Pt", "Pt"],
  "fractional_positions": [[0.000, 0.000, 0.083], [0.000, 0.000, 0.250], [0.000, 0.000, 0.416], [0.000, 0.000, 0.584], [0.000, 0.000, 0.750], [0.000, 0.000, 0.917], [0.333, 0.667, 0.000], [0.667, 0.333, 0.000], [0.667, 0.333, 0.333], [0.667, 0.333, 0.667], [0.333, 0.667, 0.166], [0.333, 0.667, 0.333], [0.333, 0.667, 0.500], [0.333, 0.667, 0.667], [0.333, 0.667, 0.834], [0.667, 0.333, 0.166], [0.667, 0.333, 0.500], [0.667, 0.333, 0.834]]
}

---

{
  "formula": "Ac2Pd3Pt2",
  "functional": "GGA-PBE",
  "state": "relaxed",
  "formation_energy_kj_per_mol_atoms": -65.0,
  "m_tot_mub_per_fu": 0.00,
  "crystal_system": "orthorhombic",
  "lattice": [[4.044, 0.000, 0.000], [0.000, 20.288, 0.000], [0.000, 0.000, 3.880]],
  "species": ["Ac", "Ac", "Ac", "Ac", "Pd", "Pd", "Pd", "Pd", "Pd", "Pd", "Pt", "Pt", "Pt", "Pt"],
  "fractional_positions": [[0.000, 0.143, 0.000], [0.000, 0.857, 0.000], [0.500, 0.357, 0.000], [0.500, 0.643, 0.000], [0.000, 0.000, 0.000], [0.000, 0.434, 0.500], [0.000, 0.566, 0.500], [0.500, 0.066, 0.500], [0.500, 0.500, 0.000], [0.500, 0.934, 0.500], [0.000, 0.293, 0.500], [0.000, 0.707, 0.500], [0.500, 0.207, 0.500], [0.500, 0.793, 0.500]]
}

---

{
  "formula": "Ac12Pd3Pt5",
  "functional": "GGA-PBE",
  "state": "relaxed",
  "formation_energy_kj_per_mol_atoms": -73.1,
  "m_tot_mub_per_fu": 0.00,
  "crystal_system": "hexagonal",
  "lattice": [[13.131, 0.000, 0.000], [-6.565, 11.372, 0.000], [0.000, 0.000, 4.436]],
  "species": ["Ac", "Ac", "Ac", "Ac", "Ac", "Ac", "Ac", "Ac", "Ac", "Ac", "Ac", "Ac", "Pd", "Pd", "Pd", "Pt", "Pt", "Pt", "Pt", "Pt"],
  "fractional_positions": [[0.000, 0.529, 0.000], [0.000, 0.832, 0.000], [0.168, 0.168, 0.000], [0.189, 0.454, 0.500], [0.265, 0.811, 0.500], [0.454, 0.189, 0.500], [0.471, 0.471, 0.000], [0.529, 0.000, 0.000], [0.546, 0.735, 0.500], [0.735, 0.546, 0.500], [0.811, 0.265, 0.500], [0.832, 0.000, 0.000], [0.000, 0.677, 0.500], [0.323, 0.323, 0.500], [0.677, 0.000, 0.500], [0.000, 0.288, 0.000], [0.288, 0.000, 0.000], [0.333, 0.667, 0.000], [0.667, 0.333, 0.000], [0.712, 0.712, 0.000]]
}